The following is a GGA-PBE calculation of an optimized crystal structure of La2Ga2Pb, from Alexandria.

abc: 7.685 7.685 4.654
angles: 90.00 90.00 90.00
Sites, in units of the cell vectors:
La: 0.673 0.827 0.500
La: 0.173 0.673 0.500
La: 0.327 0.173 0.500
La: 0.827 0.327 0.500
Ga: 0.621 0.121 0.000
Ga: 0.379 0.879 0.000
Ga: 0.879 0.621 0.000
Ga: 0.121 0.379 0.000
Pb: 0.500 0.500 0.000
Pb: 0.000 0.000 0.000

* spin magnetization: 0.0 Bohr magnetons per cell
* total DFT energy (no corrections): -0.3334 Ry per atom
* space group: P4/mbm
* ρ: 7.5 g/cm³
* formation energy: -0.6134 eV/atom



The following is a GGA-PBE calculation of an optimized crystal structure of LaGaPb, from Alexandria.

abc: 3.750 3.750 6.463
angles: 106.86 106.86 90.00
Sites, in units of the cell vectors:
Ga: 0.297 0.297 0.594
Pb: 0.925 0.925 0.850
La: 0.628 0.628 0.256

* spin magnetization: 0.4 Bohr magnetons per cell
* total DFT energy (no corrections): -0.3113 Ry per atom
* space group: I4mm
* ρ: 8.3 g/cm³
* formation energy: -0.3484 eV/atom



The following is a GGA-PBE calculation of an optimized crystal structure of La2Ga2Pb, from Alexandria.

abc: 4.411 4.246 7.675
angles: 106.06 90.00 90.00
Sites, in units of the cell vectors:
Pb: 0.000 0.000 0.000
Ga: 0.000 0.204 0.408
Ga: 0.000 0.796 0.592
La: 0.500 0.370 0.740
La: 0.500 0.630 0.260

* spin magnetization: 0.0 Bohr magnetons per cell
* total DFT energy (no corrections): -0.3344 Ry per atom
* space group: Cmmm
* ρ: 7.5 g/cm³
* formation energy: -0.6267 eV/atom



The following is a GGA-PBE calculation of an optimized crystal structure of LaGaPb, from Alexandria.

abc: 4.674 4.603 4.603
angles: 120.00 90.00 90.00
Sites, in units of the cell vectors:
Ga: 0.038 0.000 0.000
La: 0.701 0.667 0.333
Pb: 0.262 0.333 0.667

* spin magnetization: 0.0 Bohr magnetons per cell
* total DFT energy (no corrections): -0.3270 Ry per atom
* space group: P3m1
* ρ: 8.1 g/cm³
* formation energy: -0.5615 eV/atom



The following is a GGA-PBE calculation of an optimized crystal structure of LaGaPb2, from Alexandria.

abc: 4.932 4.755 4.755
angles: 90.00 90.00 90.00
Sites, in units of the cell vectors:
La: 0.500 0.500 0.500
Pb: 0.000 0.500 0.000
Pb: 0.000 0.000 0.500
Ga: 0.500 0.000 0.000

* spin magnetization: 0.0 Bohr magnetons per cell
* total DFT energy (no corrections): -0.3150 Ry per atom
* space group: P4/mmm
* ρ: 9.3 g/cm³
* formation energy: -0.4425 eV/atom



The following is a GGA-PBE calculation of an optimized crystal structure of La4GaPb, from Alexandria.

abc: 5.369 7.411 5.371
angles: 89.68 90.00 90.00
Sites, in units of the cell vectors:
Ga: 0.000 0.000 0.000
Pb: 0.500 0.500 0.500
La: 0.500 0.223 0.002
La: 0.500 0.777 0.998
La: 0.000 0.223 0.499
La: 0.000 0.777 0.501

* spin magnetization: 0.0 Bohr magnetons per cell
* total DFT energy (no corrections): -0.3475 Ry per atom
* space group: P2/m
* ρ: 6.5 g/cm³
* formation energy: -0.3204 eV/atom



The following is a GGA-PBE calculation of an optimized crystal structure of LaGa3Pb, from Alexandria.

abc: 5.358 5.358 5.358
angles: 90.00 90.00 90.00
Sites, in units of the cell vectors:
Ga: 0.500 0.000 0.000
Ga: 0.000 0.000 0.500
Ga: 0.000 0.500 0.000
La: 0.500 0.500 0.500
Pb: 0.000 0.000 0.000

* spin magnetization: 0.0 Bohr magnetons per cell
* total DFT energy (no corrections): -0.2358 Ry per atom
* space group: Pm-3m
* ρ: 6.0 g/cm³
* formation energy: 0.3348 eV/atom



The following is a GGA-PBE calculation of an optimized crystal structure of LaGaPb2, from Alexandria.

abc: 8.501 8.501 6.851
angles: 51.65 51.65 90.00
Sites, in units of the cell vectors:
Ga: 0.250 0.750 0.500
Ga: 0.500 0.500 0.000
La: 0.000 0.000 0.000
La: 0.750 0.250 0.500
Pb: 0.375 0.421 0.750
Pb: 0.171 0.625 0.250
Pb: 0.875 0.829 0.750
Pb: 0.579 0.125 0.250

* spin magnetization: 0.0 Bohr magnetons per cell
* total DFT energy (no corrections): -0.3017 Ry per atom
* space group: I-42d
* ρ: 8.7 g/cm³
* formation energy: -0.2622 eV/atom



What is the formula in the sixth record?
La4GaPb



The lowest total DFT energy (no corrections) belongs to which entry?
La4GaPb